{
  "formula": "Fe2Co4Ge",
  "functional": "PBE",
  "state": "optimized geometry",
  "crystal_system": "tetragonal",
  "e_form_ev_per_atom": 0.551,
  "rho_g_cm3": 7.07,
  "lattice": [[-2.534, 2.534, 7.685], [2.534, -2.534, 7.685], [2.534, 2.534, -7.685]],
  "species": ["Fe", "Fe", "Fe", "Fe", "Co", "Co", "Co", "Co", "Co", "Co", "Co", "Co", "Ge", "Ge"],
  "frac_coords": [[0.000, 0.000, 0.000], [0.000, 0.000, 0.500], [0.000, 0.500, 0.000], [0.500, 0.000, 0.500], [0.162, 0.199, 0.537], [0.162, 0.626, 0.963], [0.199, 0.162, 0.037], [0.374, 0.838, 0.537], [0.626, 0.162, 0.463], [0.801, 0.838, 0.963], [0.838, 0.374, 0.037], [0.838, 0.801, 0.463], [0.375, 0.625, 0.750], [0.625, 0.375, 0.250]]
}